[1]
Entry from Alexandria: a relaxed structure of CaMnTl (GGA-PBE).

a = 5.0512 Å, b = 5.0512 Å, c = 5.0512 Å
α = 60.00°, β = 60.00°, γ = 60.00°
Last column: nearest neighbours and their distance in Å.
Sites, in units of the cell vectors:
Ca 0.0000 0.0000 0.0000  4 Tl 3.09, 4 Mn 3.09
Mn 0.2500 0.2500 0.2500  4 Ca 3.09
Tl 0.7500 0.7500 0.7500  4 Ca 3.09

Formation energy in eV per formula unit: 1.99
Uncorrected energy in eV/atom: -3.8486

[2]
Entry from Alexandria: a relaxed structure of Sc6CuIr5 (GGA-PBE).

a = 7.2960 Å, b = 7.2960 Å, c = 6.3628 Å
α = 90.00°, β = 90.00°, γ = 143.12°
Last column: nearest neighbours and their distance in Å.
Sites, in units of the cell vectors:
Sc 0.0000 0.0000 0.2495  6 Ir 2.79-2.81, 2 Cu 2.80
Sc 0.0000 0.0000 0.7505  6 Ir 2.79-2.81, 2 Cu 2.80
Sc 0.3329 0.6671 0.2490  7 Ir 2.80-2.81, 1 Cu 2.80
Sc 0.3329 0.6671 0.7510  7 Ir 2.80-2.81, 1 Cu 2.80
Sc 0.6671 0.3329 0.2490  7 Ir 2.80-2.81, 1 Cu 2.80
Sc 0.6671 0.3329 0.7510  7 Ir 2.80-2.81, 1 Cu 2.80
Cu 0.5000 0.5000 0.0000  8 Sc 2.80
Ir 0.1654 0.8346 0.0000  8 Sc 2.79-2.81
Ir 0.1669 0.8331 0.5000  8 Sc 2.80-2.81
Ir 0.5000 0.5000 0.5000  8 Sc 2.81
Ir 0.8331 0.1669 0.5000  8 Sc 2.80-2.81
Ir 0.8346 0.1654 0.0000  8 Sc 2.79-2.81

Formation energy in eV per formula unit: -10.94
Uncorrected energy in eV/atom: -8.1112

[3]
Entry from Alexandria: a relaxed structure of BaMg2ZnRh (GGA-PBE).

a = 5.0561 Å, b = 5.0561 Å, c = 5.0594 Å
α = 90.00°, β = 90.00°, γ = 90.00°
Last column: nearest neighbours and their distance in Å.
Sites, in units of the cell vectors:
Ba 0.0000 0.0000 0.0000  4 Zn 3.58, 8 Mg 3.58
Mg 0.0000 0.5000 0.5000  2 Rh 2.53
Mg 0.5000 0.0000 0.5000  2 Rh 2.53
Zn 0.5000 0.5000 0.0000  2 Rh 2.53
Rh 0.5000 0.5000 0.5000  4 Mg 2.53, 2 Zn 2.53

Formation energy in eV per formula unit: -1.43
Uncorrected energy in eV/atom: -3.0336

[4]
Entry from Alexandria: a relaxed structure of LiCaTe2 (GGA-PBE).

a = 3.9685 Å, b = 3.9685 Å, c = 7.0052 Å
α = 90.00°, β = 90.00°, γ = 90.16°
Last column: nearest neighbours and their distance in Å.
Sites, in units of the cell vectors:
Li 0.0000 0.0000 0.0000  8 Te 3.29-3.30, 2 Ca 3.50
Ca 0.0000 0.0000 0.5000  8 Te 3.32, 2 Li 3.50
Te 0.5000 0.5000 0.2470  4 Li 3.29-3.30, 4 Ca 3.32, 2 Te 3.46-3.54
Te 0.5000 0.5000 0.7530  4 Li 3.29-3.30, 4 Ca 3.32, 2 Te 3.46-3.54

Uncorrected energy in eV/atom: -3.4949
Formation energy (no corrections) in eV per atom: -0.945

[5]
Entry from Alexandria: a relaxed structure of Pu6PdRh5 (GGA-PBE).

a = 8.7545 Å, b = 8.7545 Å, c = 8.7545 Å
α = 146.92°, β = 138.23°, γ = 54.28°
Last column: nearest neighbours and their distance in Å.
Sites, in units of the cell vectors:
Pu 0.0804 0.3324 0.7481  7 Rh 2.93-3.04, 1 Pd 3.05, 2 Pu 3.10-3.14
Pu 0.2457 0.0000 0.2457  6 Rh 2.93-3.09, 2 Pd 2.95, 2 Pu 3.07-3.17
Pu 0.4157 0.6676 0.7481  7 Rh 2.93-3.04, 1 Pd 3.05, 2 Pu 3.10-3.14
Pu 0.5843 0.3324 0.2519  7 Rh 2.93-3.04, 1 Pd 3.05, 2 Pu 3.10-3.14
Pu 0.7543 0.0000 0.7543  6 Rh 2.93-3.09, 2 Pd 2.95, 2 Pu 3.07-3.17
Pu 0.9196 0.6676 0.2519  7 Rh 2.93-3.04, 1 Pd 3.05, 2 Pu 3.10-3.14
Pd 0.5000 0.5000 0.0000  8 Pu 2.95-3.05, 2 Rh 3.12
Rh 0.0000 0.5000 0.5000  8 Pu 2.93-3.04, 2 Pd 3.12
Rh 0.1709 0.1709 0.0000  8 Pu 2.93-3.07, 2 Rh 3.12
Rh 0.3302 0.8302 0.5000  8 Pu 2.95-3.09, 2 Rh 3.12
Rh 0.6698 0.1698 0.5000  8 Pu 2.95-3.09, 2 Rh 3.12
Rh 0.8291 0.8291 0.0000  8 Pu 2.93-3.07, 2 Rh 3.12

Formation energy in eV per formula unit: -4.73
Uncorrected energy in eV/atom: -11.0558

[6]
Entry from Alexandria: a relaxed structure of Y2Sc5Ir3 (GGA-PBE).

a = 13.8845 Å, b = 13.8845 Å, c = 6.8098 Å
α = 90.00°, β = 90.00°, γ = 160.84°
Last column: nearest neighbours and their distance in Å.
Sites, in units of the cell vectors:
Y 0.0222 0.9778 0.5000  3 Ir 2.92-3.07
Y 0.3291 0.6709 0.3937  3 Ir 3.03, 6 Sc 3.11-3.38
Y 0.6709 0.3291 0.8937  3 Ir 3.03, 6 Sc 3.11-3.38
Y 0.9778 0.0222 0.0000  3 Ir 2.92-3.07
Sc 0.1000 0.9000 0.1308  3 Ir 2.71-2.84
Sc 0.2013 0.7987 0.5529  4 Ir 2.76-2.89, 1 Sc 3.08
Sc 0.2242 0.7758 0.1100  3 Ir 2.68-2.69
Sc 0.3789 0.6211 0.9533  2 Ir 2.66-2.74
Sc 0.4462 0.5538 0.3349  4 Ir 2.62-2.87
Sc 0.5538 0.4462 0.8349  4 Ir 2.62-2.87
Sc 0.6211 0.3789 0.4533  2 Ir 2.66-2.74
Sc 0.7758 0.2242 0.6100  3 Ir 2.68-2.69
Sc 0.7987 0.2013 0.0529  4 Ir 2.76-2.89, 1 Sc 3.08
Sc 0.9000 0.1000 0.6308  3 Ir 2.71-2.84
Ir 0.1111 0.8889 0.7354  6 Sc 2.71-3.02, 3 Y 2.92-3.03
Ir 0.2862 0.7138 0.8038  7 Sc 2.68-2.89
Ir 0.4562 0.5438 0.7172  5 Sc 2.62-2.84
Ir 0.5438 0.4562 0.2172  5 Sc 2.62-2.84
Ir 0.7138 0.2862 0.3038  7 Sc 2.68-2.89
Ir 0.8889 0.1111 0.2354  6 Sc 2.71-3.02, 3 Y 2.92-3.03

Formation energy in eV per formula unit: -7.07
Uncorrected energy in eV/atom: -7.8242

[7]
Entry from Alexandria: a relaxed structure of GaNi2HOs (GGA-PBE).

a = 3.6902 Å, b = 3.6902 Å, c = 3.8663 Å
α = 90.00°, β = 90.00°, γ = 90.00°
Last column: nearest neighbours and their distance in Å.
Sites, in units of the cell vectors:
Ga 0.0000 0.0000 0.0000  4 Os 2.61, 8 Ni 2.67
Ni 0.0000 0.5000 0.5000  2 H 1.85
Ni 0.5000 0.0000 0.5000  2 H 1.85
H 0.5000 0.5000 0.5000  4 Ni 1.85, 2 Os 1.93
Os 0.5000 0.5000 0.0000  2 H 1.93

Uncorrected energy in eV/atom: -5.8590

[8]
Entry from Alexandria: a relaxed structure of Ac4Os2Br5 (GGA-PBE).

a = 11.0390 Å, b = 11.0390 Å, c = 11.0390 Å
α = 156.75°, β = 133.48°, γ = 52.64°
Last column: nearest neighbours and their distance in Å.
Sites, in units of the cell vectors:
Ac 0.1871 0.1871 0.0000  1 Os 2.51
Ac 0.2169 0.5000 0.7169  4 Os 3.15, 4 Br 3.32-3.51
Ac 0.7831 0.5000 0.2831  4 Os 3.15, 4 Br 3.32-3.51
Ac 0.8129 0.8129 0.0000  1 Os 2.51
Os 0.0601 0.0601 0.0000  1 Os 2.38, 1 Ac 2.51
Os 0.9399 0.9399 0.0000  1 Os 2.38, 1 Ac 2.51
Br 0.0997 0.3244 0.7753  4 Ac 3.28-3.51
Br 0.4510 0.6756 0.7753  4 Ac 3.28-3.51
Br 0.5000 0.0000 0.5000  4 Ac 3.32
Br 0.5490 0.3244 0.2247  4 Ac 3.28-3.51
Br 0.9003 0.6756 0.2247  4 Ac 3.28-3.51

Uncorrected energy in eV/atom: -5.2526
Formation energy (no corrections) in eV per atom: -0.956

[9]
Entry from Alexandria: a relaxed structure of Na2CuH3 (GGA-PBE).

a = 6.5590 Å, b = 6.5590 Å, c = 5.5338 Å
α = 93.62°, β = 93.62°, γ = 136.27°
Last column: nearest neighbours and their distance in Å.
Sites, in units of the cell vectors:
Na 0.0000 0.0000 0.0000  2 H 2.06
Na 0.1556 0.8444 0.5000  4 H 2.29-2.45
Na 0.5000 0.5000 0.5000  2 H 2.01
Na 0.8444 0.1556 0.5000  4 H 2.29-2.45
Cu 0.2557 0.7443 0.0000  4 H 1.74-1.75
Cu 0.7443 0.2557 0.0000  4 H 1.74-1.75
H 0.0908 0.4597 0.1747  2 Cu 1.74-1.75
H 0.1868 0.1868 0.6927  2 Na 2.01-2.06
H 0.4597 0.0908 0.1747  2 Cu 1.74-1.75
H 0.5403 0.9092 0.8253  2 Cu 1.74-1.75
H 0.8132 0.8132 0.3073  2 Na 2.01-2.06
H 0.9092 0.5403 0.8253  2 Cu 1.74-1.75

Uncorrected energy in eV/atom: -2.8419
Energy relative to the lowest polymorph listed for this composition in eV per atom: 0.068

[10]
Entry from Alexandria: a relaxed structure of MnBe2Te (GGA-PBE).

a = 2.8673 Å, b = 3.7166 Å, c = 5.8303 Å
α = 90.00°, β = 103.18°, γ = 90.00°
Last column: nearest neighbours and their distance in Å.
Sites, in units of the cell vectors:
Mn 0.0000 0.0000 0.0000  6 Be 2.29-2.45
Be 0.3538 0.0000 0.6849  2 Be 2.17, 2 Mn 2.29
Be 0.4406 0.5000 0.8831  2 Be 2.17, 2 Mn 2.43
Te 0.2087 0.5000 0.3630  2 Be 2.61, 2 Mn 2.78, 2 Te 2.87

Uncorrected energy in eV/atom: -4.6052
Formation energy (no corrections) in eV per atom: 0.336

[11]
Entry from Alexandria: a relaxed structure of CaTaMn4 (GGA-PBE).

a = 4.9362 Å, b = 4.9362 Å, c = 4.9362 Å
α = 60.00°, β = 60.00°, γ = 60.00°
Last column: nearest neighbours and their distance in Å.
Sites, in units of the cell vectors:
Ca 0.0000 0.0000 0.0000  12 Mn 2.90, 4 Ta 3.02
Ta 0.2500 0.2500 0.2500  12 Mn 2.89, 4 Ca 3.02
Mn 0.1273 0.6242 0.6242  6 Mn 2.45-2.48
Mn 0.6242 0.1273 0.6242  6 Mn 2.45-2.48
Mn 0.6242 0.6242 0.1273  6 Mn 2.45-2.48
Mn 0.6242 0.6242 0.6242  6 Mn 2.45-2.48

Formation energy in eV per formula unit: 1.58
Uncorrected energy in eV/atom: -8.1580

[12]
Entry from Alexandria: a relaxed structure of Sb2TeRuCl (GGA-PBE).

a = 5.0799 Å, b = 5.0799 Å, c = 5.3160 Å
α = 90.00°, β = 90.00°, γ = 90.00°
Last column: nearest neighbours and their distance in Å.
Sites, in units of the cell vectors:
Sb 0.0000 0.5000 0.0000  2 Cl 2.54
Sb 0.5000 0.0000 0.0000  2 Cl 2.54
Te 0.0000 0.0000 0.5000  2 Cl 2.66
Ru 0.5000 0.5000 0.5000  4 Te 3.59, 8 Sb 3.68
Cl 0.0000 0.0000 0.0000  4 Sb 2.54, 2 Te 2.66

Uncorrected energy in eV/atom: -3.1099
Energy relative to the lowest polymorph listed for this composition in eV per atom: 1.080
Formation energy (no corrections) in eV per atom: 1.392